Computed, not measured: crystalline SrLaFe2 at its relaxed geometry at the GGA-PBE level of DFT.

Properties
Symmetry: I4_1/amd, No. 141
Volume (Å³ per cell): 199.7
E_form (kJ per mole of atoms): 79.9

Cell: 4.900 4.900 9.010 Å, 74.22 74.22 90.00°
Fractional coordinates of all 8 atoms:
Sr (0.500, 0.500, 0.000)
Sr (0.250, 0.750, 0.500)
Fe (0.875, 0.125, 0.250)
Fe (0.875, 0.625, 0.250)
Fe (0.375, 0.125, 0.750)
Fe (0.875, 0.125, 0.750)
La (0.000, 0.000, 0.000)
La (0.750, 0.250, 0.500)